No. 1
Entry from Alexandria: crystalline Ca3TeC at its relaxed geometry (PBE-GGA).

abc: 5.0295 5.0295 5.0295
angles: 90.00 90.00 90.00
Positions (direct):
1 Ca 0.0000 0.5000 0.0000
2 Ca 0.0000 0.0000 0.5000
3 Ca 0.5000 0.0000 0.0000
4 Te 0.5000 0.5000 0.5000
5 C 0.0000 0.0000 0.0000

Summary:
Uncorrected formation energy in eV per atom: -0.54
Energy above the lowest structure with this stoichiometry in eV per formula unit: 0.00
Calculated volume in A^3/atom: 25.45
Calculated density in Mg/m³: 3.4

***

No. 2
Entry from Alexandria: crystalline Ta3C4 at its relaxed geometry (PBE-GGA).

abc: 4.4104 4.4104 4.4104
angles: 90.00 90.00 90.00
Positions (direct):
1 Ta 0.0000 0.5000 0.0000
2 Ta 0.0000 0.0000 0.5000
3 Ta 0.5000 0.0000 0.0000
4 C 0.0000 0.0000 0.0000
5 C 0.0000 0.5000 0.5000
6 C 0.5000 0.0000 0.5000
7 C 0.5000 0.5000 0.0000

Summary:
Calculated formation energy in eV/atom: 0.087
Energy above the lowest structure with this stoichiometry in eV per formula unit: 0.57
Calculated volume in A^3/atom: 12.26
Calculated density in Mg/m³: 11.4

***

No. 3
Entry from Alexandria: crystalline PmPrGa at its relaxed geometry (PBE-GGA).

abc: 4.0875 5.8876 7.9535
angles: 102.50 104.89 90.00
Positions (direct):
1 Ga 0.2325 0.8567 0.4650
2 Ga 0.7675 0.1433 0.5350
3 Pr 0.8594 0.6813 0.7188
4 Pr 0.1406 0.3187 0.2812
5 Pm 0.4238 0.2101 0.8476
6 Pm 0.5762 0.7899 0.1524

Summary:
Calculated formation energy in eV/atom: -0.343
Energy above the lowest structure with this stoichiometry in eV per formula unit: 0.16
Calculated volume in A^3/atom: 30.05
Calculated density in Mg/m³: 6.6

***

No. 4
Entry from Alexandria: crystalline CsCaMnBr5 at its relaxed geometry (PBE-GGA).

abc: 8.2091 8.2091 10.6000
angles: 103.74 103.74 106.36
Positions (direct):
1 Cs 0.3422 0.6578 0.2500
2 Cs 0.6578 0.3422 0.7500
3 Ca 0.0000 0.0000 0.5000
4 Ca 0.0000 0.0000 0.0000
5 Mn 0.6872 0.3128 0.2500
6 Mn 0.3128 0.6872 0.7500
7 Br 0.0721 0.9279 0.2500
8 Br 0.9279 0.0721 0.7500
9 Br 0.8954 0.3095 0.1100
10 Br 0.1046 0.6905 0.8900
11 Br 0.6905 0.1046 0.3900
12 Br 0.3095 0.8954 0.6100
13 Br 0.7616 0.6136 0.4259
14 Br 0.2384 0.3864 0.5741
15 Br 0.3864 0.2384 0.0741
16 Br 0.6136 0.7616 0.9259

Summary:
Uncorrected formation energy in eV per atom: -1.52
Calculated volume in A^3/atom: 39.33
Calculated density in Mg/m³: 3.3

***

No. 5
Entry from Alexandria: crystalline NaCaNd2Se4 at its relaxed geometry (PBE-GGA).

abc: 4.2223 7.3796 7.3046
angles: 70.84 90.00 90.00
Positions (direct):
1 Na 0.0000 0.5000 0.5000
2 Ca 0.5000 0.5000 0.0000
3 Nd 0.0000 0.0000 0.0000
4 Nd 0.5000 0.0000 0.5000
5 Se 0.0000 0.7479 0.7519
6 Se 0.0000 0.2521 0.2481
7 Se 0.5000 0.7526 0.2467
8 Se 0.5000 0.2474 0.7533

Summary:
Uncorrected formation energy in eV per atom: -1.80
Calculated volume in A^3/atom: 26.87
Calculated density in Mg/m³: 5.2

***

No. 6
Entry from Alexandria: crystalline ScZn at its relaxed geometry (PBE-GGA).

abc: 5.5402 5.5402 5.5402
angles: 46.23 46.23 46.23
Positions (direct):
1 Sc 0.0999 0.0999 0.0999
2 Sc 0.9001 0.9001 0.9001
3 Zn 0.3190 0.3190 0.3190
4 Zn 0.6810 0.6810 0.6810

Summary:
Calculated formation energy in eV/atom: -0.131
Calculated volume in A^3/atom: 20.23
Calculated density in Mg/m³: 4.5

***

No. 7
Entry from Alexandria: crystalline Cr3Br at its relaxed geometry (PBE-GGA).

abc: 4.6817 4.6817 4.6817
angles: 90.00 90.00 90.00
Positions (direct):
1 Cr 0.7500 0.5000 0.0000
2 Cr 0.2500 0.5000 0.0000
3 Cr 0.0000 0.7500 0.5000
4 Cr 0.0000 0.2500 0.5000
5 Cr 0.5000 0.0000 0.2500
6 Cr 0.5000 0.0000 0.7500
7 Br 0.0000 0.0000 0.0000
8 Br 0.5000 0.5000 0.5000

Summary:
Uncorrected formation energy in eV per atom: 1.00
Energy above the lowest structure with this stoichiometry in eV per formula unit: 2.29
Calculated volume in A^3/atom: 12.83
Calculated density in Mg/m³: 7.6

***

No. 8
Entry from Alexandria: crystalline CeGdMnGa at its relaxed geometry (PBE-GGA).

abc: 5.0745 5.0745 5.0745
angles: 60.00 60.00 60.00
Positions (direct):
1 Mn 0.7500 0.7500 0.7500
2 Gd 0.0000 0.0000 0.0000
3 Ga 0.2500 0.2500 0.2500
4 Ce 0.5000 0.5000 0.5000

Summary:
Calculated formation energy in eV/atom: -0.129
Calculated volume in A^3/atom: 23.10
Calculated density in Mg/m³: 7.6

***

No. 9
Entry from Alexandria: crystalline VFeRu at its relaxed geometry (PBE-GGA).

abc: 2.9984 2.9984 4.8608
angles: 107.96 107.96 90.00
Positions (direct):
1 Ru 0.2884 0.2884 0.5767
2 Fe 0.6101 0.6101 0.2202
3 V 0.9515 0.9515 0.9031

Summary:
Calculated formation energy in eV/atom: -0.110
Energy above the lowest structure with this stoichiometry in eV per formula unit: 0.11
Calculated volume in A^3/atom: 13.11
Calculated density in Mg/m³: 8.8

***

No. 10
Entry from Alexandria: crystalline CsZr2Tl at its relaxed geometry (PBE-GGA).

abc: 4.6929 4.6929 11.5500
angles: 78.28 78.28 90.00
Positions (direct):
1 Cs 0.5000 0.5000 0.0000
2 Cs 0.2500 0.7500 0.5000
3 Tl 0.0000 0.0000 0.0000
4 Tl 0.7500 0.2500 0.5000
5 Zr 0.6654 0.1250 0.2500
6 Zr 0.0846 0.6250 0.2500
7 Zr 0.3750 0.3346 0.7500
8 Zr 0.8750 0.9154 0.7500

Summary:
Calculated formation energy in eV/atom: 0.999
Energy above the lowest structure with this stoichiometry in eV per formula unit: 0.59
Calculated volume in A^3/atom: 30.46
Calculated density in Mg/m³: 7.1

***

No. 11
Entry from Alexandria: crystalline YCrIn2Pb at its relaxed geometry (PBE-GGA).

abc: 6.9211 7.1363 6.9211
angles: 90.00 90.00 90.00
Positions (direct):
1 Pb 0.0000 0.0000 0.0000
2 Y 0.0000 0.5000 0.0000
3 Cr 0.5000 0.5000 0.5000
4 In 0.0000 0.0000 0.5000
5 In 0.5000 0.0000 0.0000

Summary:
Calculated formation energy in eV/atom: 1.524
Calculated volume in A^3/atom: 68.37
Calculated density in Mg/m³: 2.8

***

No. 12
Entry from Alexandria: crystalline Ta2TiBeS at its relaxed geometry (PBE-GGA).

abc: 4.6312 3.8496 4.6312
angles: 90.00 90.00 90.00
Positions (direct):
1 Be 0.0000 0.5000 0.0000
2 S 0.0000 0.0000 0.0000
3 Ti 0.5000 0.5000 0.5000
4 Ta 0.0000 0.0000 0.5000
5 Ta 0.5000 0.0000 0.0000

Summary:
Uncorrected formation energy in eV per atom: 0.28
Calculated volume in A^3/atom: 16.51
Calculated density in Mg/m³: 9.1

***

No. 13
Entry from Alexandria: crystalline CaH8Rh4 at its relaxed geometry (PBE-GGA).

abc: 5.6596 5.6596 5.6596
angles: 60.00 60.00 60.00
Positions (direct):
1 Ca 0.7500 0.7500 0.7500
2 H 0.5717 0.1428 0.1428
3 H 0.1428 0.5717 0.1428
4 H 0.1428 0.1428 0.5717
5 H 0.1428 0.1428 0.1428
6 H 0.2174 0.5942 0.5942
7 H 0.5942 0.2174 0.5942
8 H 0.5942 0.5942 0.2174
9 H 0.5942 0.5942 0.5942
10 Rh 0.8816 0.3728 0.3728
11 Rh 0.3728 0.8816 0.3728
12 Rh 0.3728 0.3728 0.8816
13 Rh 0.3728 0.3728 0.3728

Summary:
Energy above the lowest structure with this stoichiometry in eV per formula unit: 0.00
Calculated volume in A^3/atom: 9.86
Calculated density in Mg/m³: 6.0